Entry 1:
Computed, not measured: a geometry-optimized Er3SbTe structure at the PBE-GGA level of DFT.

Properties
Space group: No. 11
Formation energy without anion corrections in eV/f.u.: -4.4

Lattice parameters (Å, degrees): 4.130 8.469 8.572 88.62 90.00 90.00
Sites, in units of the cell vectors:
Er  0.750  0.126  0.378
Er  0.250  0.373  0.638
Er  0.250  0.874  0.622
Er  0.750  0.627  0.362
Er  0.750  0.346  0.002
Er  0.250  0.654  0.998
Te  0.750  0.114  0.736
Te  0.250  0.886  0.264
Sb  0.750  0.625  0.728
Sb  0.250  0.375  0.272

Entry 2:
Computed, not measured: a geometry-optimized Er5Sb4Te structure at the PBE-GGA level of DFT.

Properties
Space group: No. 71
Formation energy without anion corrections in eV/f.u.: -11.5

Lattice parameters (Å, degrees): 4.349 6.143 11.510 105.48 100.89 90.00
Sites, in units of the cell vectors:
Er  0.605  0.105  0.209
Er  0.801  0.301  0.601
Er  0.395  0.895  0.791
Er  0.000  0.500  0.000
Er  0.199  0.699  0.399
Sb  0.401  0.401  0.802
Sb  0.201  0.201  0.402
Sb  0.599  0.599  0.198
Sb  0.799  0.799  0.598
Te  0.000  0.000  0.000

Entry 3:
Computed, not measured: a geometry-optimized Er6SbTe5 structure at the PBE-GGA level of DFT.

Properties
Space group: No. 12
Formation energy without anion corrections in eV/f.u.: -14.6

Lattice parameters (Å, degrees): 7.516 7.472 7.477 60.02 80.47 70.65
Sites, in units of the cell vectors:
Te  0.500  0.830  0.340
Te  0.500  0.500  0.000
Te  0.500  0.170  0.660
Te  0.000  0.666  0.668
Te  0.000  0.334  0.332
Er  0.756  0.081  0.326
Er  0.244  0.919  0.674
Er  0.248  0.242  0.000
Er  0.756  0.407  0.674
Er  0.752  0.758  0.000
Er  0.244  0.593  0.326
Sb  0.000  0.000  0.000

Entry 4:
Computed, not measured: a geometry-optimized Er4SbTe2 structure at the PBE-GGA level of DFT.

Properties
Space group: No. 63
Formation energy without anion corrections in eV/f.u.: -6.5

Lattice parameters (Å, degrees): 4.140 7.119 14.581 90.00 90.00 106.90
Sites, in units of the cell vectors:
Te  0.854  0.709  0.940
Te  0.854  0.709  0.560
Te  0.146  0.291  0.060
Te  0.146  0.291  0.440
Er  0.923  0.847  0.750
Er  0.500  0.000  0.000
Er  0.790  0.579  0.134
Er  0.500  0.000  0.500
Er  0.210  0.421  0.634
Er  0.790  0.579  0.366
Er  0.210  0.421  0.866
Er  0.077  0.153  0.250
Sb  0.412  0.825  0.250
Sb  0.588  0.175  0.750

Entry 5:
Computed, not measured: a geometry-optimized Er2SbTe4 structure at the PBE-GGA level of DFT.

Properties
Space group: No. 12
Formation energy without anion corrections in eV/f.u.: -6.2

Lattice parameters (Å, degrees): 4.253 7.597 8.667 116.93 104.20 90.00
Sites, in units of the cell vectors:
Te  0.878  0.209  0.756
Te  0.361  0.696  0.723
Te  0.639  0.304  0.277
Te  0.122  0.791  0.244
Sb  0.000  0.000  0.000
Er  0.742  0.763  0.484
Er  0.258  0.237  0.516

Entry 6:
Computed, not measured: a geometry-optimized Er3SbTe2 structure at the PBE-GGA level of DFT.

Properties
Space group: No. 71
Formation energy without anion corrections in eV/f.u.: -7.3

Lattice parameters (Å, degrees): 4.321 6.110 7.524 113.96 106.69 90.00
Sites, in units of the cell vectors:
Sb  0.500  0.500  0.500
Er  0.160  0.660  0.819
Er  0.840  0.340  0.181
Er  0.500  0.000  0.500
Te  0.169  0.169  0.838
Te  0.831  0.831  0.162

Entry 7:
Computed, not measured: a geometry-optimized Er3SbTe2 structure at the PBE-GGA level of DFT.

Properties
Space group: No. 12
Formation energy without anion corrections in eV/f.u.: -7.3

Lattice parameters (Å, degrees): 7.503 7.518 7.496 80.45 59.97 70.64
Sites, in units of the cell vectors:
Er  0.262  0.238  0.000
Er  0.421  0.758  0.661
Er  0.579  0.242  0.339
Er  0.738  0.762  0.000
Er  0.918  0.242  0.661
Er  0.082  0.758  0.339
Te  0.164  0.500  0.672
Te  0.500  0.500  0.000
Te  0.000  0.000  0.000
Te  0.836  0.500  0.328
Sb  0.668  0.000  0.664
Sb  0.332  0.000  0.336

Entry 8:
Computed, not measured: a geometry-optimized ErSbTe structure at the PBE-GGA level of DFT.

Properties
Space group: No. 12
Formation energy without anion corrections in eV/f.u.: -1.9

Lattice parameters (Å, degrees): 4.528 5.708 9.798 101.33 90.00 113.37
Sites, in units of the cell vectors:
Sb  0.069  0.139  0.369
Sb  0.931  0.861  0.631
Te  0.813  0.626  0.875
Te  0.187  0.374  0.125
Er  0.234  0.467  0.673
Er  0.766  0.533  0.327

Repeat the sixth record exactly.
Computed, not measured: a geometry-optimized Er3SbTe2 structure at the PBE-GGA level of DFT.

Properties
Space group: No. 71
Formation energy without anion corrections in eV/f.u.: -7.3

Lattice parameters (Å, degrees): 4.321 6.110 7.524 113.96 106.69 90.00
Sites, in units of the cell vectors:
Sb  0.500  0.500  0.500
Er  0.160  0.660  0.819
Er  0.840  0.340  0.181
Er  0.500  0.000  0.500
Te  0.169  0.169  0.838
Te  0.831  0.831  0.162